a.
DFT (PBE) results for crystalline CdHg2Pd2 at its relaxed geometry.

Lattice parameters (Å, degrees): 3.984 3.984 13.366 90.00 90.00 90.00
Fractional positions:
1 Cd 0.000 0.000 0.000
2 Cd 0.500 0.500 0.500
3 Hg 0.000 0.500 0.250
4 Hg 0.000 0.500 0.750
5 Hg 0.500 0.000 0.250
6 Hg 0.500 0.000 0.750
7 Pd 0.000 0.000 0.403
8 Pd 0.000 0.000 0.597
9 Pd 0.500 0.500 0.097
10 Pd 0.500 0.500 0.903

The calculation puts the density of states at the Fermi level at 1.66 states/eV/f.u. The volume is 21.211 Å³/atom. Its space group is I4/mmm (139).

b.
DFT (PBE) results for crystalline CdHg2Pd2 at its relaxed geometry.

Lattice parameters (Å, degrees): 7.989 7.989 3.088 90.00 90.00 90.00
Fractional positions:
1 Cd 0.000 0.000 0.000
2 Cd 0.500 0.500 0.000
3 Hg 0.138 0.362 0.000
4 Hg 0.362 0.862 0.000
5 Hg 0.638 0.138 0.000
6 Hg 0.862 0.638 0.000
7 Pd 0.160 0.660 0.500
8 Pd 0.340 0.160 0.500
9 Pd 0.660 0.840 0.500
10 Pd 0.840 0.340 0.500

The calculation puts the density of states at the Fermi level at 1.62 states/eV/f.u. The volume is 19.712 Å³/atom. Its space group is P4/mbm (127).

c.
DFT (PBE) results for crystalline CdHg2Pd2 at its relaxed geometry.

Lattice parameters (Å, degrees): 7.183 7.183 3.840 90.00 90.00 90.00
Fractional positions:
1 Cd 0.000 0.000 0.000
2 Cd 0.500 0.500 0.000
3 Hg 0.160 0.340 0.500
4 Hg 0.340 0.840 0.500
5 Hg 0.660 0.160 0.500
6 Hg 0.840 0.660 0.500
7 Pd 0.139 0.639 0.000
8 Pd 0.361 0.139 0.000
9 Pd 0.639 0.861 0.000
10 Pd 0.861 0.361 0.000

The calculation puts the density of states at the Fermi level at 2.15 states/eV/f.u. The volume is 19.810 Å³/atom. Its space group is P4/mbm (127).

d.
DFT (PBE) results for crystalline CdHg2Pd2 at its relaxed geometry.

Lattice parameters (Å, degrees): 3.967 3.967 13.555 90.00 90.00 90.00
Fractional positions:
1 Cd 0.000 0.000 0.000
2 Cd 0.500 0.500 0.500
3 Hg 0.000 0.000 0.395
4 Hg 0.000 0.000 0.605
5 Hg 0.500 0.500 0.105
6 Hg 0.500 0.500 0.895
7 Pd 0.000 0.500 0.250
8 Pd 0.000 0.500 0.750
9 Pd 0.500 0.000 0.250
10 Pd 0.500 0.000 0.750

The calculation puts the density of states at the Fermi level at 1.94 states/eV/f.u. The volume is 21.327 Å³/atom. Its space group is I4/mmm (139).

Which one sits at the bottom of the stability order? d does.